Computed, not measured: an optimized crystal structure of NaAgBi3 at the PBE-GGA level of DFT.

Theoretical density in g cm⁻³: 7.113
Formation energy from the elements in eV per formula unit: 1.37
SG: Pm-3m, No. 221
Energy in eV per atom: -2.89

Cell lengths 5.6136, 5.6136, 5.6136 Å; angles 90.00, 90.00, 90.00 degrees
Closest atoms and distances in Å follow each position.
Sites, in units of the cell vectors:
Na 0.0000 0.0000 0.0000  12 Bi 3.97
Ag 0.5000 0.5000 0.5000  6 Bi 2.81
Bi 0.0000 0.5000 0.5000  2 Ag 2.81
Bi 0.5000 0.0000 0.5000  2 Ag 2.81
Bi 0.5000 0.5000 0.0000  2 Ag 2.81